This record from Alexandria via LeMat-Bulk describes LiCo2P2 after structural relaxation. The functional is GGA-PBE.

Summary:
Calculated formation energy: -0.390 eV/atom

a = 6.6620 Å, b = 6.6620 Å, c = 2.5979 Å
α = 90.00°, β = 90.00°, γ = 90.00°
Closest atoms and distances in Å follow each position.
Atoms (fractional coordinates):
Li1 0.0000 0.0000 0.0000  4 P 2.52, 2 Li 2.60
Li2 0.5000 0.5000 0.0000  4 P 2.52, 2 Li 2.60
Co1 0.1377 0.3623 0.5000  6 P 2.35, 3 Co 2.59-2.60
Co2 0.3623 0.8623 0.5000  6 P 2.35, 3 Co 2.59-2.60
Co3 0.6377 0.1377 0.5000  6 P 2.35, 3 Co 2.59-2.60
Co4 0.8623 0.6377 0.5000  6 P 2.35, 3 Co 2.59-2.60
P1 0.1549 0.6549 0.0000  6 Co 2.35, 2 Li 2.52, 2 P 2.60
P2 0.3451 0.1549 0.0000  6 Co 2.35, 2 Li 2.52, 2 P 2.60
P3 0.6549 0.8451 0.0000  6 Co 2.35, 2 Li 2.52, 2 P 2.60
P4 0.8451 0.3451 0.0000  6 Co 2.35, 2 Li 2.52, 2 P 2.60

***

This record from Alexandria via LeMat-Bulk describes Nd7Y12Tm after structural relaxation. The functional is GGA-PBE.

Summary:
Energy above the most stable polymorph in this dataset: 0 meV per atom
Calculated formation energy: 0.230 eV/atom

a = 8.8513 Å, b = 8.8513 Å, c = 8.8513 Å
α = 85.80°, β = 85.80°, γ = 85.80°
Closest atoms and distances in Å follow each position.
Atoms (fractional coordinates):
Nd1 0.0000 0.0000 0.0000  6 Y 3.30
Nd2 0.1023 0.3461 0.4194  3 Nd 3.47-3.49, 7 Y 3.51-3.86
Nd3 0.3461 0.4194 0.1023  3 Nd 3.47-3.49, 7 Y 3.51-3.86
Nd4 0.4194 0.1023 0.3461  3 Nd 3.47-3.49, 7 Y 3.51-3.86
Nd5 0.5806 0.8977 0.6539  3 Nd 3.47-3.49, 7 Y 3.51-3.86
Nd6 0.6539 0.5806 0.8977  3 Nd 3.47-3.49, 7 Y 3.51-3.86
Nd7 0.8977 0.6539 0.5806  3 Nd 3.47-3.49, 7 Y 3.51-3.86
Y1 0.0023 0.3629 0.8856  5 Y 3.27-3.64, 2 Nd 3.30-3.51
Y2 0.1144 0.9977 0.6371  5 Y 3.27-3.64, 2 Nd 3.30-3.51
Y3 0.2292 0.7501 0.3562  4 Y 3.32-3.64, 1 Tm 3.39, 2 Nd 3.54-3.64
Y4 0.2499 0.6438 0.7708  4 Y 3.32-3.64, 1 Tm 3.39, 2 Nd 3.54-3.64
Y5 0.3562 0.2292 0.7501  4 Y 3.32-3.64, 1 Tm 3.39, 2 Nd 3.54-3.64
Y6 0.3629 0.8856 0.0023  5 Y 3.27-3.64, 2 Nd 3.30-3.51
Y7 0.6371 0.1144 0.9977  5 Y 3.27-3.64, 2 Nd 3.30-3.51
Y8 0.6438 0.7708 0.2499  4 Y 3.32-3.64, 1 Tm 3.39, 2 Nd 3.54-3.64
Y9 0.7501 0.3562 0.2292  4 Y 3.32-3.64, 1 Tm 3.39, 2 Nd 3.54-3.64
Y10 0.7708 0.2499 0.6438  4 Y 3.32-3.64, 1 Tm 3.39, 2 Nd 3.54-3.64
Y11 0.8856 0.0023 0.3629  5 Y 3.27-3.64, 2 Nd 3.30-3.51
Y12 0.9977 0.6371 0.1144  5 Y 3.27-3.64, 2 Nd 3.30-3.51
Tm1 0.5000 0.5000 0.5000  6 Y 3.39

***

This record from Alexandria via LeMat-Bulk describes Mn2Fe7Ge3 after structural relaxation. The functional is GGA-PBE.

Summary:
Calculated formation energy: 0.106 eV/atom

a = 9.6971 Å, b = 9.6971 Å, c = 3.9747 Å
α = 90.00°, β = 90.00°, γ = 155.88°
Closest atoms and distances in Å follow each position.
Atoms (fractional coordinates):
Mn1 0.1526 0.8474 0.0000  7 Fe 2.40-2.50
Mn2 0.8474 0.1526 0.0000  7 Fe 2.40-2.50
Fe1 0.0778 0.9222 0.5000  2 Mn 2.44, 4 Ge 2.48, 2 Fe 2.51
Fe2 0.2796 0.7204 0.0000  2 Fe 2.32, 2 Ge 2.36, 3 Mn 2.40-2.41
Fe3 0.4249 0.5751 0.0000  2 Fe 2.45, 4 Ge 2.48, 2 Mn 2.50
Fe4 0.5000 0.5000 0.5000  8 Fe 2.45-2.51
Fe5 0.5751 0.4249 0.0000  2 Fe 2.45, 4 Ge 2.48, 2 Mn 2.50
Fe6 0.7204 0.2796 0.0000  2 Fe 2.32, 2 Ge 2.36, 3 Mn 2.40-2.41
Fe7 0.9222 0.0778 0.5000  2 Mn 2.44, 4 Ge 2.48, 2 Fe 2.51
Ge1 0.0000 0.0000 0.0000  8 Fe 2.48
Ge2 0.3464 0.6536 0.5000  6 Fe 2.36-2.48
Ge3 0.6536 0.3464 0.5000  6 Fe 2.36-2.48

***

This record from Alexandria via LeMat-Bulk describes CaLa3Fe after structural relaxation. The functional is GGA-PBE.

Summary:
Calculated formation energy: 0.039 eV/atom

a = 5.5115 Å, b = 5.5115 Å, c = 5.5115 Å
α = 90.00°, β = 90.00°, γ = 90.00°
Closest atoms and distances in Å follow each position.
Atoms (fractional coordinates):
Ca1 0.0000 0.0000 0.0000  12 La 3.90
La1 0.0000 0.5000 0.5000  2 Fe 2.76
La2 0.5000 0.0000 0.5000  2 Fe 2.76
La3 0.5000 0.5000 0.0000  2 Fe 2.76
Fe1 0.5000 0.5000 0.5000  6 La 2.76

***

This record from Alexandria via LeMat-Bulk describes PrAl2GeRu2 after structural relaxation. The functional is GGA-PBE.

Summary:
Calculated formation energy: -0.282 eV/atom

a = 4.5445 Å, b = 4.5445 Å, c = 5.8058 Å
α = 90.00°, β = 90.00°, γ = 90.00°
Closest atoms and distances in Å follow each position.
Atoms (fractional coordinates):
Pr1 0.0000 0.0000 0.0000  2 Ge 2.90
Al1 0.5000 0.5000 0.2443  4 Ru 2.71, 2 Al 2.84-2.97
Al2 0.5000 0.5000 0.7557  4 Ru 2.71, 2 Al 2.84-2.97
Ge1 0.0000 0.0000 0.5000  4 Ru 2.27
Ru1 0.0000 0.5000 0.5000  2 Ge 2.27
Ru2 0.5000 0.0000 0.5000  2 Ge 2.27

***

This record from Alexandria via LeMat-Bulk describes Al2ZnCr after structural relaxation. The functional is GGA-PBE.

Summary:
Calculated formation energy: 0.066 eV/atom

a = 2.8119 Å, b = 2.8119 Å, c = 25.8642 Å
α = 90.00°, β = 90.00°, γ = 120.00°
Closest atoms and distances in Å follow each position.
Atoms (fractional coordinates):
Al1 0.0000 0.0000 0.2460  3 Cr 2.62, 3 Zn 2.78, 6 Al 2.81
Al2 0.0000 0.0000 0.7540  3 Cr 2.62, 3 Zn 2.78, 6 Al 2.81
Al3 0.3333 0.6667 0.4207  3 Cr 2.62, 3 Zn 2.78, 6 Al 2.81
Al4 0.3333 0.6667 0.9126  3 Cr 2.62, 3 Zn 2.78, 6 Al 2.81
Al5 0.6667 0.3333 0.0874  3 Cr 2.62, 3 Zn 2.78, 6 Al 2.81
Al6 0.6667 0.3333 0.5793  3 Cr 2.62, 3 Zn 2.78, 6 Al 2.81
Zn1 0.0000 0.0000 0.0000  6 Al 2.78, 6 Zn 2.81
Zn2 0.3333 0.6667 0.6667  6 Al 2.78, 6 Zn 2.81
Zn3 0.6667 0.3333 0.3333  6 Al 2.78, 6 Zn 2.81
Cr1 0.0000 0.0000 0.5000  6 Al 2.62, 6 Cr 2.81
Cr2 0.3333 0.6667 0.1667  6 Al 2.62, 6 Cr 2.81
Cr3 0.6667 0.3333 0.8333  6 Al 2.62, 6 Cr 2.81

***

This record from Alexandria via LeMat-Bulk describes Fe2AgSnAs after structural relaxation. The functional is GGA-PBE.

Summary:
Calculated formation energy: 1.290 eV/atom

a = 4.8365 Å, b = 4.8365 Å, c = 5.0848 Å
α = 90.00°, β = 90.00°, γ = 90.00°
Closest atoms and distances in Å follow each position.
Atoms (fractional coordinates):
Fe1 0.0000 0.5000 0.0000  2 Sn 2.42
Fe2 0.5000 0.0000 0.0000  2 Sn 2.42
Ag1 0.0000 0.0000 0.5000  2 Sn 2.54
Sn1 0.0000 0.0000 0.0000  4 Fe 2.42, 2 Ag 2.54
As1 0.5000 0.5000 0.5000  4 Ag 3.42, 8 Fe 3.51

***

This record from Alexandria via LeMat-Bulk describes SrPrAgAu after structural relaxation. The functional is GGA-PBE.

Summary:
Energy above the most stable polymorph in this dataset: 16 meV per atom
Calculated formation energy: -0.488 eV/atom

a = 7.5989 Å, b = 7.5989 Å, c = 7.5989 Å
α = 90.00°, β = 90.00°, γ = 90.00°
Closest atoms and distances in Å follow each position.
Atoms (fractional coordinates):
Sr1 0.0000 0.0000 0.0000  4 Ag 3.29, 4 Au 3.29
Sr2 0.0000 0.5000 0.5000  4 Ag 3.29, 4 Au 3.29
Sr3 0.5000 0.0000 0.5000  4 Ag 3.29, 4 Au 3.29
Sr4 0.5000 0.5000 0.0000  4 Ag 3.29, 4 Au 3.29
Pr1 0.0000 0.0000 0.5000  4 Au 3.29, 4 Ag 3.29
Pr2 0.0000 0.5000 0.0000  4 Au 3.29, 4 Ag 3.29
Pr3 0.5000 0.0000 0.0000  4 Au 3.29, 4 Ag 3.29
Pr4 0.5000 0.5000 0.5000  4 Au 3.29, 4 Ag 3.29
Ag1 0.2500 0.2500 0.2500  4 Pr 3.29, 4 Sr 3.29
Ag2 0.2500 0.7500 0.7500  4 Pr 3.29, 4 Sr 3.29
Ag3 0.7500 0.2500 0.7500  4 Pr 3.29, 4 Sr 3.29
Ag4 0.7500 0.7500 0.2500  4 Pr 3.29, 4 Sr 3.29
Au1 0.2500 0.2500 0.7500  4 Sr 3.29, 4 Pr 3.29
Au2 0.2500 0.7500 0.2500  4 Sr 3.29, 4 Pr 3.29
Au3 0.7500 0.2500 0.2500  4 Sr 3.29, 4 Pr 3.29
Au4 0.7500 0.7500 0.7500  4 Sr 3.29, 4 Pr 3.29

***

| no. | magnetic moment (μB per cell) |
| --- | --- |
| 1 | 0.0 |
| 2 | 0.0 |
| 3 | 8.3 |
| 4 | 0.0 |
| 5 | 0.0 |
| 6 | 4.6 |
| 7 | 5.2 |
| 8 | 0.0 |